(1)
This record from Alexandria via LeMat-Bulk describes a relaxed Ac2Sn8Ru crystal. The functional is PBE-GGA.

Results
Uncorrected energy ... -54.0 eV/cell
Formation enthalpy at 0 K ... -4.5 eV/f.u.

abc: 4.8286 4.8286 12.8290
angles: 90.00 90.00 90.00
With the nearest neighbours (Å) after each atom.
Space group P4/mmm (No. 123)
Unique sites:
Ac 0.0000 0.0000 0.1947 (multiplicity 2)  12 Sn 3.41-3.47
Sn 0.0000 0.5000 0.0000 (multiplicity 2)  8 Sn 3.41-3.50, 4 Ac 3.47
Sn 0.0000 0.5000 0.3849 (multiplicity 4)  2 Ru 2.83, 1 Sn 2.95
Sn 0.5000 0.5000 0.1979 (multiplicity 2)  8 Sn 3.40-3.50, 4 Ac 3.41
Ru 0.0000 0.0000 0.5000 (multiplicity 1)  8 Sn 2.83

=====

(2)
This record from Alexandria via LeMat-Bulk describes a relaxed Sc2NiP crystal. The functional is PBE-GGA.

Results
Uncorrected energy ... -80.4 eV/cell
Formation enthalpy at 0 K ... -2.9 eV/f.u.

abc: 3.7086 3.7086 18.6022
angles: 90.00 90.00 120.00
With the nearest neighbours (Å) after each atom.
Space group R-3m (No. 166, hexagonal axes)
Unique sites:
Sc 0.0000 0.0000 0.2479 (multiplicity 6)  3 P 2.62, 3 Ni 2.67
Ni 0.0000 0.0000 0.0000 (multiplicity 3)  6 Sc 2.67
P 0.0000 0.0000 0.5000 (multiplicity 3)  6 Sc 2.62

=====

(3)
This record from Alexandria via LeMat-Bulk describes a relaxed Ac6Nd8Y crystal. The functional is PBE-GGA.

Results
Uncorrected energy ... -202.7 eV/cell
Formation enthalpy at 0 K ... 1.7 eV/f.u.

abc: 10.2409 10.2409 19.3914
angles: 90.00 90.00 120.00
With the nearest neighbours (Å) after each atom.
Space group R-3 (No. 148, hexagonal axes)
Unique sites:
Ac 0.0204 0.7818 0.4070 (multiplicity 18)  6 Nd 3.62-3.98, 1 Ac 3.88
Nd 0.0000 0.0000 0.2263 (multiplicity 6)  6 Nd 3.58-3.61, 3 Ac 3.98
Nd 0.0507 0.7739 0.9022 (multiplicity 18)  1 Y 3.23, 3 Nd 3.37-3.61
Y 0.0000 0.0000 0.0000 (multiplicity 3)  6 Nd 3.23